First-principles (PBE) data for crystalline Os3PbO at its relaxed geometry, as listed in Alexandria via LeMat-Bulk.

Lattice parameters (Å, degrees): 4.228 4.228 4.228 90.00 90.00 90.00
Positions (direct):
1 Pb 0.500 0.500 0.500
2 Os 0.000 0.500 0.000
3 O 0.000 0.000 0.000
4 Os 0.500 0.000 0.000
5 Os 0.000 0.000 0.500

Properties
The uncorrected formation energy comes out at 1198 meV/atom. The value obtained for the energy above the most stable polymorph in this dataset is 0.000 eV per atom. As for the total moment: 0.00 μB/f.u. The space-group type is No. 221. The calculation puts the calculated volume at 15.12 A^3/atom.

First-principles (PBE) data for crystalline CaTa2AlF at its relaxed geometry, as listed in Alexandria via LeMat-Bulk.

Lattice parameters (Å, degrees): 4.381 4.646 4.381 90.00 90.00 90.00
Positions (direct):
1 Ca 0.000 0.500 0.000
2 Al 0.500 0.500 0.500
3 F 0.000 0.000 0.000
4 Ta 0.000 0.000 0.500
5 Ta 0.500 0.000 0.000

Properties
The uncorrected formation energy comes out at -4 meV/atom. As for the total moment: 0.00 μB/f.u. The space-group type is No. 123. The calculation puts the calculated volume at 17.83 A^3/atom.

First-principles (PBE) data for crystalline Ac12Al5Rh3 at its relaxed geometry, as listed in Alexandria via LeMat-Bulk.

Lattice parameters (Å, degrees): 15.918 15.918 15.918 109.47 109.47 109.47
Positions (direct):
1 Ac 0.436 0.373 0.606
2 Al 0.500 0.500 0.000
3 Ac 0.437 0.768 0.873
4 Rh 0.375 0.625 0.250
5 Ac 0.394 0.268 0.330
6 Ac 0.064 0.170 0.437
7 Ac 0.268 0.394 0.830
8 Rh 0.125 0.875 0.750
9 Ac 0.563 0.330 0.936
10 Ac 0.394 0.127 0.564
11 Ac 0.330 0.563 0.436
12 Al 0.125 0.375 0.250
13 Al 0.000 0.000 0.000
14 Ac 0.170 0.106 0.732
15 Ac 0.373 0.436 0.106
16 Ac 0.873 0.268 0.437
17 Al 0.500 0.000 0.000
18 Ac 0.330 0.768 0.394
19 Rh 0.625 0.375 0.750
20 Rh 0.375 0.750 0.625
21 Ac 0.436 0.063 0.330
22 Ac 0.830 0.936 0.063
23 Ac 0.127 0.394 0.064
24 Ac 0.373 0.937 0.768
25 Ac 0.937 0.564 0.170
26 Al 0.500 0.000 0.500
27 Rh 0.875 0.125 0.250
28 Ac 0.627 0.564 0.894
29 Al 0.875 0.250 0.625
30 Ac 0.232 0.563 0.627
31 Ac 0.606 0.732 0.670
32 Ac 0.127 0.732 0.563
33 Ac 0.268 0.873 0.937
34 Al 0.250 0.875 0.125
35 Ac 0.732 0.127 0.063
36 Ac 0.894 0.064 0.627
37 Al 0.625 0.875 0.250
38 Rh 0.750 0.375 0.125
39 Ac 0.563 0.232 0.127
40 Ac 0.232 0.670 0.106
41 Ac 0.106 0.170 0.232
42 Rh 0.625 0.250 0.375
43 Al 0.250 0.375 0.625
44 Al 0.750 0.125 0.875
45 Al 0.500 0.500 0.500
46 Ac 0.063 0.627 0.732
47 Al 0.125 0.750 0.375
48 Ac 0.670 0.437 0.564
49 Ac 0.564 0.937 0.670
50 Ac 0.437 0.670 0.064
51 Ac 0.106 0.936 0.373
52 Rh 0.250 0.625 0.875
53 Al 0.375 0.125 0.750
54 Ac 0.936 0.106 0.873
55 Ac 0.064 0.894 0.127
56 Ac 0.936 0.830 0.563
57 Al 0.000 0.500 0.000
58 Al 0.000 0.500 0.500
59 Ac 0.670 0.232 0.606
60 Al 0.750 0.625 0.375
61 Ac 0.894 0.830 0.768
62 Rh 0.125 0.250 0.875
63 Ac 0.170 0.064 0.937
64 Ac 0.937 0.373 0.268
65 Ac 0.873 0.606 0.936
66 Al 0.875 0.625 0.750
67 Ac 0.732 0.606 0.170
68 Al 0.000 0.000 0.500
69 Al 0.375 0.250 0.125
70 Ac 0.768 0.330 0.894
71 Ac 0.606 0.873 0.436
72 Ac 0.627 0.063 0.232
73 Ac 0.830 0.894 0.268
74 Rh 0.875 0.750 0.125
75 Rh 0.750 0.875 0.625
76 Ac 0.063 0.436 0.830
77 Rh 0.250 0.125 0.375
78 Ac 0.564 0.627 0.394
79 Ac 0.768 0.437 0.373
80 Al 0.625 0.750 0.875

Properties
As for the total moment: 0.00 μB/f.u. The energy relative to the elements comes out at 4.2 eV/f.u. The space-group type is No. 230. The calculation puts the calculated volume at 38.81 A^3/atom.

First-principles (PBE) data for crystalline Rb2Cr3Te6 at its relaxed geometry, as listed in Alexandria via LeMat-Bulk.

Lattice parameters (Å, degrees): 6.902 6.903 9.035 82.68 75.23 60.01
Site moments in Bohr magnetons follow the coordinates.
Positions (direct):
1 Te 0.060 0.331 0.828  -0.16
2 Rb 0.833 0.333 0.500  0.00
3 Cr 0.000 0.000 0.000  3.02
4 Te 0.278 0.000 0.172  -0.16
5 Te 0.391 0.669 0.828  -0.16
6 Te 0.722 0.000 0.828  -0.16
7 Te 0.609 0.331 0.172  -0.16
8 Te 0.940 0.669 0.172  -0.16
9 Cr 0.332 0.335 0.000  3.02
10 Rb 0.167 0.667 0.500  0.00
11 Cr 0.668 0.665 0.000  3.02

Properties
The uncorrected formation energy comes out at -473 meV/atom. As for the total moment: 8.39 μB/f.u. The space-group type is No. 12. The calculation puts the calculated volume at 32.78 A^3/atom.